Material: NpGaGePt
Method: DFT, PBE-GGA
State: optimized geometry

a b c (Å): 4.331 4.327 6.527
angles (deg): 109.43 90.00 120.03
Fractional positions:
Ga1 0.484 0.969 0.344
Ge1 0.773 0.547 0.212
Np1 0.018 0.037 0.947
Pt1 0.620 0.239 0.752

Properties
The calculation puts the calculated formation energy at -0.1033 eV per atom. As for the polymorph energy (0 for the lowest one): 0.097 eV/atom. For the total energy, the calculation gives -0.4968 Ry/atom.


Material: Np2GaGe2Rh5
Method: DFT, PBE-GGA
State: optimized geometry

a b c (Å): 2.972 10.603 10.603
angles (deg): 90.00 90.00 90.00
Fractional positions:
Rh1 0.500 0.197 0.044
Rh2 0.500 0.044 0.803
Rh3 0.500 0.956 0.197
Rh4 0.500 0.803 0.956
Rh5 0.500 0.303 0.544
Rh6 0.500 0.456 0.303
Rh7 0.500 0.544 0.697
Rh8 0.500 0.500 0.000
Rh9 0.500 0.697 0.456
Rh10 0.500 0.000 0.500
Np1 0.000 0.325 0.825
Np2 0.000 0.825 0.675
Np3 0.000 0.675 0.175
Np4 0.000 0.175 0.325
Ge1 0.000 0.134 0.634
Ge2 0.000 0.866 0.366
Ge3 0.000 0.366 0.134
Ge4 0.000 0.634 0.866
Ga1 0.000 0.500 0.500
Ga2 0.000 0.000 0.000

Properties
The calculation puts the calculated formation energy at -0.4496 eV per atom. For the total energy, the calculation gives -0.5836 Ry/atom.


Material: Np2GaGe4Rh3
Method: DFT, PBE-GGA
State: optimized geometry

a b c (Å): 4.198 4.198 10.366
angles (deg): 90.00 90.00 90.00
Fractional positions:
Ge1 0.000 0.500 0.357
Ge2 0.500 0.500 0.000
Ge3 0.000 0.000 0.000
Ge4 0.500 0.000 0.643
Rh1 0.000 0.500 0.126
Rh2 0.500 0.000 0.874
Rh3 0.000 0.000 0.500
Np1 0.000 0.500 0.756
Np2 0.500 0.000 0.244
Ga1 0.500 0.500 0.500

Properties
The calculation puts the calculated formation energy at -0.3983 eV per atom. For the total energy, the calculation gives -0.5396 Ry/atom.


Material: Np2GaGe3Rh4
Method: DFT, PBE-GGA
State: optimized geometry

a b c (Å): 4.163 4.163 10.364
angles (deg): 90.00 90.00 90.00
Fractional positions:
Ge1 0.000 0.500 0.130
Ge2 0.500 0.000 0.870
Ge3 0.000 0.000 0.500
Rh1 0.000 0.500 0.364
Rh2 0.000 0.000 0.000
Rh3 0.500 0.500 0.000
Rh4 0.500 0.000 0.636
Ga1 0.500 0.500 0.500
Np1 0.000 0.500 0.745
Np2 0.500 0.000 0.255

Properties
The calculation puts the calculated formation energy at -0.5162 eV per atom. For the total energy, the calculation gives -0.5683 Ry/atom.


Material: NpGaSnGe
Method: DFT, PBE-GGA
State: optimized geometry

a b c (Å): 4.410 4.178 4.583
angles (deg): 90.00 90.00 90.00
Fractional positions:
Ga1 0.500 0.000 0.500
Np1 0.500 0.500 0.000
Ge1 0.000 0.000 0.000
Sn1 0.000 0.500 0.500

Properties
The calculation puts the calculated formation energy at -0.1939 eV per atom. For the total energy, the calculation gives -0.4660 Ry/atom.


Material: Ga3GeO
Method: DFT, PBE-GGA
State: optimized geometry

a b c (Å): 4.917 4.917 4.917
angles (deg): 90.00 90.00 90.00
Fractional positions:
Ga1 0.000 0.500 0.000
Ga2 0.000 0.000 0.500
Ga3 0.500 0.000 0.000
Ge1 0.000 0.000 0.000
O1 0.500 0.500 0.500

Properties
As for the polymorph energy (0 for the lowest one): 0.736 eV/atom. For the total energy, the calculation gives -0.2283 Ry/atom. The formation energy without anion corrections comes out at 0.6247 eV per atom.


Material: GaGeO2
Method: DFT, PBE-GGA
State: optimized geometry

a b c (Å): 5.220 5.220 5.684
angles (deg): 62.67 62.67 90.00
Fractional positions:
O1 0.532 0.125 0.250
O2 0.218 0.625 0.250
O3 0.875 0.782 0.750
O4 0.375 0.468 0.750
Ge1 0.000 0.000 0.000
Ge2 0.750 0.250 0.500
Ga1 0.500 0.500 0.000
Ga2 0.250 0.750 0.500

Properties
As for the polymorph energy (0 for the lowest one): 0.384 eV/atom. For the total energy, the calculation gives -0.3926 Ry/atom. The formation energy without anion corrections comes out at -0.9515 eV per atom.


Material: GaGeO3
Method: DFT, PBE-GGA
State: optimized geometry

a b c (Å): 3.715 3.715 3.715
angles (deg): 90.00 90.00 90.00
Fractional positions:
O1 0.000 0.000 0.500
O2 0.500 0.000 0.000
O3 0.000 0.500 0.000
Ge1 0.000 0.000 0.000
Ga1 0.500 0.500 0.500

Properties
For the total energy, the calculation gives -0.4029 Ry/atom. The formation energy without anion corrections comes out at -0.9773 eV per atom.


Material: Ga2GeO
Method: DFT, PBE-GGA
State: optimized geometry

a b c (Å): 5.164 5.164 6.479
angles (deg): 66.52 66.52 90.00
Fractional positions:
Ga1 0.183 0.625 0.250
Ga2 0.567 0.125 0.250
Ga3 0.875 0.817 0.750
Ga4 0.375 0.433 0.750
O1 0.250 0.750 0.500
O2 0.500 0.500 0.000
Ge1 0.000 0.000 0.000
Ge2 0.750 0.250 0.500

Properties
As for the polymorph energy (0 for the lowest one): 0.000 eV/atom. For the total energy, the calculation gives -0.3282 Ry/atom. The formation energy without anion corrections comes out at -0.5581 eV per atom.


Material: GaGe3O
Method: DFT, PBE-GGA
State: optimized geometry

a b c (Å): 4.485 4.485 4.485
angles (deg): 90.00 90.00 90.00
Fractional positions:
Ge1 0.000 0.000 0.500
Ge2 0.500 0.000 0.000
Ge3 0.000 0.500 0.000
O1 0.000 0.000 0.000
Ga1 0.500 0.500 0.500

Properties
As for the polymorph energy (0 for the lowest one): 0.000 eV/atom. For the total energy, the calculation gives -0.3206 Ry/atom. The formation energy without anion corrections comes out at 0.0050 eV per atom.


Material: GaGe2O
Method: DFT, PBE-GGA
State: optimized geometry

a b c (Å): 4.433 4.433 4.433
angles (deg): 60.00 60.00 60.00
Fractional positions:
Ge1 0.750 0.750 0.750
Ge2 0.250 0.250 0.250
Ga1 0.500 0.500 0.500
O1 0.000 0.000 0.000

Properties
As for the polymorph energy (0 for the lowest one): 0.399 eV/atom. For the total energy, the calculation gives -0.2999 Ry/atom. The formation energy without anion corrections comes out at 0.2241 eV per atom.


Material: GaGe3O
Method: DFT, PBE-GGA
State: optimized geometry

a b c (Å): 4.877 4.877 4.877
angles (deg): 90.00 90.00 90.00
Fractional positions:
Ga1 0.000 0.000 0.000
Ge1 0.000 0.500 0.000
Ge2 0.000 0.000 0.500
Ge3 0.500 0.000 0.000
O1 0.500 0.500 0.500

Properties
As for the polymorph energy (0 for the lowest one): 0.964 eV/atom. For the total energy, the calculation gives -0.2498 Ry/atom. The formation energy without anion corrections comes out at 0.9686 eV per atom.